# DyTh3In4 (PBE, relaxed)
# D(E_F)	1.1216	states/eV per atom
# V	453.4	Å³ per cell
# DFT total energy	-4.96	eV/atom
data_DyTh3In4
_chemical_formula_sum 'Dy2 Th6 In8'
_space_group_name_H-M_alt 'P m n 21'
_space_group_IT_number 31
_cell_length_a 9.723
_cell_length_b 6.851
_cell_length_c 6.806
_cell_angle_alpha 90.00
_cell_angle_beta 90.00
_cell_angle_gamma 90.00
loop_
_space_group_symop_operation_xyz
'x,y,z'
'-x+1/2,-y,z+1/2'
'-x,y,z'
'x+1/2,-y,z+1/2'
loop_
_atom_site_label
_atom_site_type_symbol
_atom_site_fract_x
_atom_site_fract_y
_atom_site_fract_z
Dy1 Dy 0.000 0.000 0.000
Th1 Th 0.000 0.500 0.000
Th2 Th 0.250 0.263 0.250
In1 In 0.000 0.000 0.500
In2 In 0.000 0.501 0.500
In3 In 0.250 0.238 0.750

=====

# Dy2ThIn (PBE, relaxed)
# D(E_F)	1.6547	states/eV per atom
# V	361.5	Å³ per cell
# DFT total energy	-4.96	eV/atom
data_Dy2ThIn
_chemical_formula_sum 'Dy6 Th3 In3'
_space_group_name_H-M_alt 'R 3 m'
_space_group_IT_number 160
_space_group_name_Hall 'R 3 -2"'
_cell_length_a 3.5631
_cell_length_b 3.5631
_cell_length_c 32.8766
_cell_angle_alpha 90.00
_cell_angle_beta 90.00
_cell_angle_gamma 120.00
loop_
_atom_site_label
_atom_site_type_symbol
_atom_site_fract_x
_atom_site_fract_y
_atom_site_fract_z
Dy1 Dy 0.0000 0.0000 0.0000
Dy2 Dy 0.0000 0.0000 0.1775
Th1 Th 0.0000 0.0000 0.4221
In1 In 0.0000 0.0000 0.5884

=====

# DyThIn2 (PBE, relaxed)
# D(E_F)	0.9784	states/eV per atom
# V	110.4	Å³ per cell
# DFT total energy	-4.75	eV/atom
data_DyThIn2
_chemical_formula_sum 'Dy1 Th1 In2'
_space_group_name_H-M_alt 'P 4/m m m'
_space_group_IT_number 123
_space_group_name_Hall '-P 4 2'
_cell_length_a 3.540
_cell_length_b 3.540
_cell_length_c 8.809
_cell_angle_alpha 90.00
_cell_angle_beta 90.00
_cell_angle_gamma 90.00
loop_
_atom_site_label
_atom_site_type_symbol
_atom_site_fract_x
_atom_site_fract_y
_atom_site_fract_z
Dy1 Dy 0.000 0.000 0.000
Th1 Th 0.000 0.000 0.500
In1 In 0.500 0.500 0.240

=====

# Dy2ThIn (PBE, relaxed)
# D(E_F)	2.0794	states/eV per atom
# V	459.7	Å³ per cell
# DFT total energy	-4.87	eV/atom
data_Dy2ThIn
_chemical_formula_sum 'Dy8 Th4 In4'
_space_group_name_H-M_alt 'F m -3 m'
_space_group_IT_number 225
_space_group_name_Hall '-F 4 2 3'
_cell_length_a 7.718
_cell_length_b 7.718
_cell_length_c 7.718
_cell_angle_alpha 90.00
_cell_angle_beta 90.00
_cell_angle_gamma 90.00
loop_
_atom_site_label
_atom_site_type_symbol
_atom_site_fract_x
_atom_site_fract_y
_atom_site_fract_z
Dy1 Dy 0.250 0.250 0.250
Th1 Th 0.000 0.000 0.000
In1 In 0.000 0.000 0.500

=====

# Dy5ThIn3 (PBE, relaxed)
# D(E_F)	1.3005	states/eV per atom
# V	512.5	Å³ per cell
# DFT total energy	-4.62	eV/atom
data_Dy5ThIn3
_chemical_formula_sum 'Dy10 Th2 In6'
_space_group_name_H-M_alt 'P 63/m c m'
_space_group_IT_number 193
_space_group_name_Hall '-P 6c 2'
_cell_length_a 9.4047
_cell_length_b 9.4047
_cell_length_c 6.6901
_cell_angle_alpha 90.00
_cell_angle_beta 90.00
_cell_angle_gamma 120.00
loop_
_atom_site_label
_atom_site_type_symbol
_atom_site_fract_x
_atom_site_fract_y
_atom_site_fract_z
Dy1 Dy 0.0000 0.3270 0.2500
Dy2 Dy 0.3333 0.6667 0.0000
Th1 Th 0.0000 0.0000 0.0000
In1 In 0.0000 0.3425 0.7500

=====

# DyThIn2 (PBE, relaxed)
# D(E_F)	1.0609	states/eV per atom
# V	111.4	Å³ per cell
# DFT total energy	-4.72	eV/atom
data_DyThIn2
_chemical_formula_sum 'Dy1 Th1 In2'
_space_group_name_H-M_alt 'P 4/m m m'
_space_group_IT_number 123
_space_group_name_Hall '-P 4 2'
_cell_length_a 4.966
_cell_length_b 4.966
_cell_length_c 4.520
_cell_angle_alpha 90.00
_cell_angle_beta 90.00
_cell_angle_gamma 90.00
loop_
_atom_site_label
_atom_site_type_symbol
_atom_site_fract_x
_atom_site_fract_y
_atom_site_fract_z
Dy1 Dy 0.000 0.000 0.000
Th1 Th 0.500 0.500 0.000
In1 In 0.000 0.500 0.500

=====

What is the DFT total energy in the first record?
-4.96 eV/atom

=====

What is the DFT total energy in the third record?
-4.75 eV/atom

=====

Look up the V of the fifth one.
512.5 Å³ per cell

=====

Look up the DFT total energy of the second one.
-4.96 eV/atom